Entry 1:
The following is a DFT calculation (PBE) of a relaxed structure of LiSb.

* Fermi-level density of states: 10.7 states/eV per cell
* electronic total energy: -2.859 eV/atom
* formation energy (no corrections): 0.159 eV/atom
* ΔE to the lowest computed polymorph: 574 meV per atom

abc: 7.4629 7.4629 7.4629
angles: 109.47 109.47 109.47
Last column: nearest neighbours and their distance in Å.
Positions (direct):
1 Li 0.0000 0.0000 0.6236  4 Sb 2.73-2.83
2 Li 0.0000 0.6236 0.0000  4 Sb 2.73-2.83
3 Li 0.3764 0.3764 0.3764  4 Sb 2.73-2.83
4 Li 0.6236 0.0000 0.0000  4 Sb 2.73-2.83
5 Sb 0.0000 0.0000 0.2582  4 Li 2.73-2.83
6 Sb 0.0000 0.2582 0.0000  4 Li 2.73-2.83
7 Sb 0.2582 0.0000 0.0000  4 Li 2.73-2.83
8 Sb 0.7418 0.7418 0.7418  4 Li 2.73-2.83

***

Entry 2:
The following is a DFT calculation (PBE) of a relaxed structure of LiSb.

* Fermi-level density of states: 2.9 states/eV per cell
* electronic total energy: -3.040 eV/atom
* formation energy (no corrections): -0.022 eV/atom
* ΔE to the lowest computed polymorph: 393 meV per atom

abc: 9.7911 9.7911 9.7911
angles: 19.82 19.82 19.82
Last column: nearest neighbours and their distance in Å.
Positions (direct):
1 Li 0.1239 0.1239 0.1239  3 Sb 2.91, 3 Li 3.14
2 Li 0.8761 0.8761 0.8761  3 Sb 2.91, 3 Li 3.14
3 Sb 0.3822 0.3822 0.3822  3 Li 2.91
4 Sb 0.6178 0.6178 0.6178  3 Li 2.91

***

Entry 3:
The following is a DFT calculation (PBE) of a relaxed structure of LiSb.

* Fermi-level density of states: 1.0 states/eV per cell
* electronic total energy: -3.366 eV/atom
* formation energy (no corrections): -0.348 eV/atom
* ΔE to the lowest computed polymorph: 67 meV per atom

abc: 3.4972 3.4972 3.4972
angles: 90.00 90.00 90.00
Last column: nearest neighbours and their distance in Å.
Positions (direct):
1 Li 0.0000 0.0000 0.0000  8 Sb 3.03
2 Sb 0.5000 0.5000 0.5000  8 Li 3.03

***

Entry 4:
The following is a DFT calculation (PBE) of a relaxed structure of Li2Sb.

* Fermi-level density of states: 0.4 states/eV per cell
* electronic total energy: -3.203 eV/atom
* formation energy (no corrections): -0.553 eV/atom
* ΔE to the lowest computed polymorph: 13 meV per atom

abc: 4.9789 4.9789 4.9789
angles: 141.70 129.28 65.30
Last column: nearest neighbours and their distance in Å.
Positions (direct):
1 Li 0.1613 0.1613 0.0000  1 Li 2.70, 5 Sb 2.84-3.01
2 Li 0.8387 0.8387 0.0000  1 Li 2.70, 5 Sb 2.84-3.01
3 Sb 0.5000 0.5000 0.0000  10 Li 2.84-3.01

***

Entry 5:
The following is a DFT calculation (PBE) of a relaxed structure of Li2Sb.

* Fermi-level density of states: 3.2 states/eV per cell
* electronic total energy: -2.840 eV/atom
* formation energy (no corrections): -0.190 eV/atom
* ΔE to the lowest computed polymorph: 376 meV per atom

abc: 5.4640 5.4640 5.4640
angles: 60.00 60.00 60.00
Last column: nearest neighbours and their distance in Å.
Positions (direct):
1 Li 0.0000 0.0000 0.0000  6 Li 2.73
2 Li 0.0000 0.0000 0.5000  6 Li 2.73
3 Li 0.0000 0.5000 0.0000  6 Li 2.73
4 Li 0.5000 0.0000 0.0000  6 Li 2.73
5 Sb 0.3750 0.3750 0.3750  12 Li 3.20, 4 Sb 3.35
6 Sb 0.6250 0.6250 0.6250  12 Li 3.20, 4 Sb 3.35

***

Entry 6:
The following is a DFT calculation (PBE) of a relaxed structure of LiSb4.

* Fermi-level density of states: 3.2 states/eV per cell
* electronic total energy: -3.322 eV/atom
* formation energy (no corrections): 0.358 eV/atom

abc: 5.0619 5.0619 5.0619
angles: 90.00 90.00 90.00
Last column: nearest neighbours and their distance in Å.
Positions (direct):
1 Li 0.0000 0.0000 0.0000  6 Sb 2.53
2 Sb 0.0000 0.0000 0.5000  2 Li 2.53
3 Sb 0.0000 0.5000 0.0000  2 Li 2.53
4 Sb 0.5000 0.0000 0.0000  2 Li 2.53
5 Sb 0.5000 0.5000 0.5000  12 Sb 3.58

***

Entry 7:
The following is a DFT calculation (PBE) of a relaxed structure of Li2Sb.

* Fermi-level density of states: 3.5 states/eV per cell
* electronic total energy: -3.076 eV/atom
* formation energy (no corrections): -0.426 eV/atom
* ΔE to the lowest computed polymorph: 140 meV per atom

abc: 13.1417 13.1417 13.1417
angles: 161.22 161.22 26.68
Last column: nearest neighbours and their distance in Å.
Positions (direct):
1 Li 0.0363 0.7863 0.2500  4 Li 2.84-3.06, 6 Sb 3.06-3.10
2 Li 0.1217 0.3717 0.7500  4 Sb 2.80-2.91, 6 Li 3.04-3.06
3 Li 0.2137 0.9637 0.2500  4 Li 2.84-3.06, 6 Sb 3.06-3.10
4 Li 0.3717 0.1217 0.2500  4 Sb 2.80-2.91, 6 Li 3.04-3.06
5 Li 0.6283 0.8783 0.7500  4 Sb 2.80-2.91, 6 Li 3.04-3.06
6 Li 0.7863 0.0363 0.7500  4 Li 2.84-3.06, 6 Sb 3.06-3.10
7 Li 0.8783 0.6283 0.2500  4 Sb 2.80-2.91, 6 Li 3.04-3.06
8 Li 0.9637 0.2137 0.7500  4 Li 2.84-3.06, 6 Sb 3.06-3.10
9 Sb 0.3012 0.5512 0.7500  10 Li 2.80-3.10
10 Sb 0.4488 0.6988 0.7500  10 Li 2.80-3.10
11 Sb 0.5512 0.3012 0.2500  10 Li 2.80-3.10
12 Sb 0.6988 0.4488 0.2500  10 Li 2.80-3.10

***

Entry 8:
The following is a DFT calculation (PBE) of a relaxed structure of LiSb.

* Fermi-level density of states: 0.5 states/eV per cell
* electronic total energy: -3.370 eV/atom
* formation energy (no corrections): -0.352 eV/atom
* ΔE to the lowest computed polymorph: 63 meV per atom

abc: 3.3317 3.3317 4.5889
angles: 90.00 90.00 120.00
Last column: nearest neighbours and their distance in Å.
Positions (direct):
1 Li 0.0000 0.0000 0.0000  6 Sb 2.99, 6 Li 3.33
2 Sb 0.6667 0.3333 0.5000  6 Li 2.99, 6 Sb 3.33